{"formula": "Li3Fe4WO8", "functional": "meta-GGA SCAN", "state": "single point on PBEsol structure", "rho_kg_m3": 6327, "raw_formation_energy_ev_per_atom": -1.74, "energy_ev_per_cell": -227.13, "lattice_angstrom": [[-0.2136, 2.7245, -5.1522], [-1.8902, -5.6212, 0.3557], [-5.7809, -1.2401, -0.5837]], "species": ["Li", "Li", "Li", "Fe", "Fe", "Fe", "Fe", "W", "O", "O", "O", "O", "O", "O", "O", "O"], "frac_coords": [[0.0000, 0.5000, 0.0000], [0.0000, 0.0000, 0.5000], [0.5000, 0.5000, 0.0000], [0.0000, 0.0000, 0.0000], [0.5000, 0.5000, 0.5000], [0.5000, 0.0000, 0.0000], [0.5000, 0.0000, 0.5000], [0.0000, 0.5000, 0.5000], [0.7583, 0.5007, 0.7424], [0.2327, 0.9818, 0.2671], [0.2327, 0.4999, 0.7491], [0.2417, 0.4993, 0.2576], [0.7435, 0.9942, 0.2506], [0.7673, 0.0182, 0.7329], [0.7673, 0.5001, 0.2509], [0.2565, 0.0058, 0.7494]]}